PmTh3N: relaxed, PBE.

Cell and atoms, written as POSCAR:
```
PmTh3N
1.0
5.0992 0.0000 0.0000
0.0000 5.0992 0.0000
0.0000 0.0000 5.0992
Pm Th N
1 3 1
Cartesian
2.5496 2.5496 2.5496
2.5496 0.0000 0.0000
0.0000 2.5496 0.0000
0.0000 0.0000 2.5496
0.0000 0.0000 0.0000
```

Computed properties:
**SG**: No. 221
**ΔE_f (raw)**: -58 kJ/mol of atoms
**Crystal system**: cubic